CdCoIr2 | Alexandria via LeMat-Bulk | PBE | relaxed; total energy = -0.2304 hartree per atom; N(E_F) = 5.00 states/eV/cell
1.0
-0.2750 -2.4318 -1.3252
2.7436 -0.0577 -0.4633
1.0407 -3.7293 6.6278
Cd Co Ir
1 1 2
Direct
0.5000 0.5000 0.2500 Cd
0.5000 0.5000 0.7500 Co
0.0000 0.0000 0.9635 Ir
0.0000 0.0000 0.5365 Ir

=====

MgCdCoIr2 | Alexandria via LeMat-Bulk | PBE | relaxed; total energy = -0.1756 hartree per atom; N(E_F) = 4.53 states/eV/cell
1.0
-1.2850 4.2425 0.9155
-3.3141 -0.3508 -3.0261
-2.7807 -1.5379 3.2235
Mg Ir Co Cd
1 2 1 1
Direct
0.0000 0.5000 0.0000 Mg
0.0000 0.0000 0.5000 Ir
0.5000 0.0000 0.0000 Ir
0.0000 0.0000 0.0000 Co
0.5000 0.5000 0.5000 Cd

=====

NbCdCoIr | Alexandria via LeMat-Bulk | PBE | relaxed; total energy = -0.2497 hartree per atom; N(E_F) = 1.33 states/eV/cell
1.0
4.4670 0.0000 0.0000
2.2335 3.8685 0.0000
2.2335 1.2895 3.6473
Nb Ir Co Cd
1 1 1 1
Direct
0.7500 0.7500 0.7500 Nb
0.5000 0.5000 0.5000 Ir
0.0000 0.0000 0.0000 Co
0.2500 0.2500 0.2500 Cd